Record 1
YCd2Pt2: optimized geometry, PBE.

Results
Its formation energy is -0.649 eV/atom. For the energy above the lowest structure with this stoichiometry, the calculation gives 0.0 meV per atom.

abc: 5.4798 4.6313 8.9152
angles: 90.00 107.43 90.00
With the nearest neighbours (Å) after each atom.
Space group P2_1/m (No. 11)
Inequivalent atoms, fractional coordinates:
Y  0.1010  0.2500  0.2653  6 Pt 2.94-3.00, 1 Cd 3.21
Cd  0.3337  0.2500  0.9475  4 Pt 2.74-2.84, 3 Cd 2.92-2.99
Cd  0.4203  0.2500  0.6314  5 Pt 2.84-2.93, 1 Cd 2.99
Pt  0.1398  0.7500  0.4811  2 Pt 2.85, 4 Cd 2.87-2.93, 3 Y 2.94-2.98
Pt  0.1778  0.7500  0.0799  5 Cd 2.74-2.84, 3 Y 2.95-3.00

---

Record 2
ErNCl: optimized geometry, PBE.

abc: 3.2805 3.4793 4.8771
angles: 90.00 90.00 90.00
With the nearest neighbours (Å) after each atom.
Space group Pmmm (No. 47)
Inequivalent atoms, fractional coordinates:
Er  0.0000  0.0000  0.0000  4 N 2.39
N  0.5000  0.5000  0.0000  4 Er 2.39
Cl  0.5000  0.0000  0.5000  4 Er 2.94, 4 N 3.00, 2 Cl 3.28

---

Record 3
Ho2GaNi2Rh5: optimized geometry, PBE.

Results
Its formation energy is -0.547 eV/atom.

abc: 9.1804 9.1804 3.7867
angles: 90.00 90.00 90.00
With the nearest neighbours (Å) after each atom.
Space group P4/mbm (No. 127)
Inequivalent atoms, fractional coordinates:
Ho  0.1733  0.3267  0.0000  3 Ni 2.62-2.77
Ga  0.0000  0.0000  0.0000  8 Rh 2.73
Ni  0.1249  0.6249  0.0000  6 Rh 2.49-2.52, 3 Ho 2.62-2.77
Rh  0.0000  0.5000  0.5000  4 Ni 2.49, 4 Rh 2.79
Rh  0.0676  0.7964  0.5000  2 Ni 2.52, 2 Ga 2.73, 3 Rh 2.79

---

no.,energy (eV/atom),total magnetic moment (μB/cell),calculated density (kg/m3)
1,-4.724,0.00,10829
2,-5.982,1.00,6465
3,-6.598,0.00,10734